# Al2TcIr, PBEsol geometry, DFT meta-GGA SCAN
# Energy above the most stable polymorph in this dataset: 352 meV per atom
data_Al2TcIr
_space_group_name_H-M_alt 'R -3 m'
_space_group_IT_number 166
_space_group_name_Hall '-R 3 2"'
_cell_length_a 2.8045
_cell_length_b 2.8045
_cell_length_c 24.8563
_cell_angle_alpha 90.00
_cell_angle_beta 90.00
_cell_angle_gamma 120.00
loop_
_atom_site_label
_atom_site_type_symbol
_atom_site_fract_x
_atom_site_fract_y
_atom_site_fract_z
Al1 Al 0.0000 0.0000 0.2486
Tc1 Tc 0.0000 0.0000 0.0000
Ir1 Ir 0.0000 0.0000 0.5000